No. 1
First-principles (PBE) data for a relaxed structure of Pr6Ho5Sc2, as listed in Alexandria via LeMat-Bulk.

Output
Its calculated density is 6.77 g cm⁻³. For the formation energy, the calculation gives 0.15 eV per atom. For the final energy, the calculation gives -4.79 eV per atom.

```
Pr6Ho5Sc2
1.0
10.8732 0.0000 0.0000
0.0000 22.6355 0.0000
0.0000 0.0000 3.5071
Pr Ho Sc
12 10 4
direct
0.0314 0.1129 0.0000 Pr
0.1388 0.3844 0.0000 Pr
0.1658 0.6395 0.5000 Pr
0.3342 0.1395 0.5000 Pr
0.3612 0.8844 0.0000 Pr
0.4686 0.6129 0.0000 Pr
0.5314 0.3871 0.0000 Pr
0.6388 0.1156 0.0000 Pr
0.6658 0.8605 0.5000 Pr
0.8342 0.3605 0.5000 Pr
0.8612 0.6156 0.0000 Pr
0.9686 0.8871 0.0000 Pr
0.0000 0.5000 0.5000 Ho
0.0849 0.2496 0.5000 Ho
0.1652 0.9927 0.5000 Ho
0.3348 0.4927 0.5000 Ho
0.4151 0.7496 0.5000 Ho
0.5000 0.0000 0.5000 Ho
0.5849 0.2504 0.5000 Ho
0.6652 0.5073 0.5000 Ho
0.8348 0.0073 0.5000 Ho
0.9151 0.7504 0.5000 Ho
0.1652 0.7739 0.0000 Sc
0.3348 0.2739 0.0000 Sc
0.6652 0.7261 0.0000 Sc
0.8348 0.2261 0.0000 Sc
```

***

No. 2
First-principles (PBE) data for a relaxed structure of NaMn2Pd, as listed in Alexandria via LeMat-Bulk.

Output
Its calculated density is 5.04 g cm⁻³. For the formation energy, the calculation gives 0.59 eV per atom. For the final energy, the calculation gives -5.63 eV per atom.

```
NaMn2Pd
1.0
-3.7367 3.7367 2.8215
3.7367 -3.7367 2.8215
3.7367 3.7367 -2.8215
Na Mn Pd
2 4 2
direct
0.0000 0.0000 0.0000 Na
0.7500 0.2500 0.5000 Na
0.1647 0.6250 0.0397 Mn
0.3750 0.4147 0.5397 Mn
0.5853 0.1250 0.9603 Mn
0.8750 0.8353 0.4603 Mn
0.2500 0.7500 0.5000 Pd
0.5000 0.5000 0.0000 Pd
```

***

No. 3
First-principles (PBE) data for a relaxed structure of Ca2AgPt, as listed in Alexandria via LeMat-Bulk.

Output
Its calculated density is 5.81 g cm⁻³. For the formation energy, the calculation gives -0.47 eV per atom. For the final energy, the calculation gives -3.69 eV per atom.

```
Ca2AgPt
1.0
3.6490 -2.0698 0.0000
3.6490 2.0698 0.0000
-2.3404 0.0000 7.2440
Ca Ag Pt
2 1 1
direct
0.2388 0.2388 0.2175 Ca
0.7612 0.7612 0.7825 Ca
0.0000 0.0000 0.5000 Ag
0.5000 0.5000 0.0000 Pt
```

***

No. 4
First-principles (PBE) data for a relaxed structure of TlCd4In2Hg, as listed in Alexandria via LeMat-Bulk.

Output
Its calculated density is 8.36 g cm⁻³. For the formation energy, the calculation gives 0.08 eV per atom. For the final energy, the calculation gives -1.40 eV per atom.

```
TlCd4In2Hg
1.0
6.3006 -6.1152 0.0000
6.3006 6.1152 0.0000
-3.2378 0.0000 5.5886
Tl Cd In Hg
2 8 4 2
direct
0.0000 0.5000 0.0000 Tl
0.5000 0.0000 0.5000 Tl
0.2416 0.2519 0.4966 Cd
0.2475 0.7518 0.5048 Cd
0.2482 0.7525 0.9952 Cd
0.2519 0.2416 0.9966 Cd
0.7481 0.7584 0.0034 Cd
0.7518 0.2475 0.0048 Cd
0.7525 0.2482 0.4952 Cd
0.7584 0.7481 0.5034 Cd
0.0000 0.5000 0.5000 In
0.5000 0.0000 0.0000 In
0.5000 0.5000 0.0000 In
0.5000 0.5000 0.5000 In
0.0000 0.0000 0.0000 Hg
0.0000 0.0000 0.5000 Hg
```

***

No. 5
First-principles (PBE) data for a relaxed structure of La8Pr6Th, as listed in Alexandria via LeMat-Bulk.

Output
Its calculated density is 6.64 g cm⁻³. For the formation energy, the calculation gives 0.14 eV per atom. For the final energy, the calculation gives -4.90 eV per atom.

```
La8Pr6Th
1.0
5.0241 2.9007 6.2644
-5.0241 2.9007 6.2644
0.0000 -5.8014 6.2644
La Pr Th
8 6 1
direct
0.0520 0.8662 0.3756 La
0.1338 0.6244 0.9480 La
0.2370 0.2370 0.2370 La
0.3756 0.0520 0.8662 La
0.6244 0.9480 0.1338 La
0.7630 0.7630 0.7630 La
0.8662 0.3756 0.0520 La
0.9480 0.1338 0.6244 La
0.1715 0.4304 0.6181 Pr
0.3819 0.8285 0.5696 Pr
0.4304 0.6181 0.1715 Pr
0.5696 0.3819 0.8285 Pr
0.6181 0.1715 0.4304 Pr
0.8285 0.5696 0.3819 Pr
0.0000 0.0000 0.0000 Th
```

***

No. 6
First-principles (PBE) data for a relaxed structure of Cs2BaCaI6, as listed in Alexandria via LeMat-Bulk.

Output
Its calculated density is 3.61 g cm⁻³. As for the raw formation energy: -1.619 eV/atom. For the final energy, the calculation gives -3.11 eV per atom.

```
Cs2BaCaI6
1.0
8.9909 0.0000 0.0000
0.0000 12.9825 0.0000
0.0000 0.0000 9.4850
Cs Ba Ca I
4 2 2 12
direct
0.2500 0.0372 0.1981 Cs
0.2500 0.4628 0.1981 Cs
0.7500 0.5372 0.8019 Cs
0.7500 0.9628 0.8019 Cs
0.2500 0.2500 0.7195 Ba
0.7500 0.7500 0.2805 Ba
0.2500 0.7500 0.7744 Ca
0.7500 0.2500 0.2256 Ca
0.0057 0.2500 0.4458 I
0.0105 0.7500 0.0160 I
0.2500 0.5092 0.7793 I
0.2500 0.9908 0.7793 I
0.4895 0.7500 0.0160 I
0.4943 0.2500 0.4458 I
0.5057 0.7500 0.5542 I
0.5105 0.2500 0.9840 I
0.7500 0.0092 0.2207 I
0.7500 0.4908 0.2207 I
0.9895 0.2500 0.9840 I
0.9943 0.7500 0.5542 I
```

***

> What is the formula in the fifth record?

La8Pr6Th

***

> The highest final energy belongs to which entry?

TlCd4In2Hg